[1]
# NdTmCo2 PBE optimized geometry
# polymorph energy (0 for the lowest one) = 80 meV per atom
# D(E_F) = 2.912 states/eV/f.u.
# formation energy = -0.0661 eV per atom
# VASP energy = -5.929 eV/atom
data_NdTmCo2
_symmetry_space_group_name_H-M 'P 4/m m m'
_symmetry_Int_Tables_number 123
_symmetry_space_group_name_Hall '-P 4 2'
_cell_length_a 3.381
_cell_length_b 3.381
_cell_length_c 6.764
_cell_angle_alpha 90.00
_cell_angle_beta 90.00
_cell_angle_gamma 90.00
loop_
_atom_site_label
_atom_site_type_symbol
_atom_site_fract_x
_atom_site_fract_y
_atom_site_fract_z
Nd1 Nd 0.000 0.000 0.000
Tm1 Tm 0.000 0.000 0.500
Co1 Co 0.500 0.500 0.266

***

[2]
# PmDyPdPt PBE optimized geometry
# polymorph energy (0 for the lowest one) = 0 meV per atom
# D(E_F) = 2.518 states/eV/f.u.
# formation energy = -1.0574 eV per atom
# VASP energy = -6.204 eV/atom
data_PmDyPdPt
_symmetry_space_group_name_H-M 'A m m 2'
_symmetry_Int_Tables_number 38
_symmetry_space_group_name_Hall 'A 2 -2'
_cell_length_a 4.527
_cell_length_b 3.822
_cell_length_c 10.707
_cell_angle_alpha 90.00
_cell_angle_beta 90.00
_cell_angle_gamma 90.00
loop_
_atom_site_label
_atom_site_type_symbol
_atom_site_fract_x
_atom_site_fract_y
_atom_site_fract_z
Pm1 Pm 0.000 0.000 0.000
Dy1 Dy 0.500 0.000 0.726
Pd1 Pd 0.500 0.000 0.448
Pt1 Pt 0.000 0.000 0.274

***

[3]
# Ba2BiHAu PBE optimized geometry
# D(E_F) = 0.763 states/eV/f.u.
# VASP energy = -3.504 eV/atom
data_Ba2BiHAu
_symmetry_space_group_name_H-M 'P 4/m m m'
_symmetry_Int_Tables_number 123
_symmetry_space_group_name_Hall '-P 4 2'
_cell_length_a 5.934
_cell_length_b 5.934
_cell_length_c 4.196
_cell_angle_alpha 90.00
_cell_angle_beta 90.00
_cell_angle_gamma 90.00
loop_
_atom_site_label
_atom_site_type_symbol
_atom_site_fract_x
_atom_site_fract_y
_atom_site_fract_z
Ba1 Ba 0.000 0.500 0.000
Bi1 Bi 0.000 0.000 0.500
H1 H 0.500 0.500 0.000
Au1 Au 0.500 0.500 0.500

***

[4]
# TlH4Rh PBE optimized geometry
# polymorph energy (0 for the lowest one) = 105 meV per atom
# D(E_F) = 0.288 states/eV/f.u.
# VASP energy = -3.707 eV/atom
data_TlH4Rh
_symmetry_space_group_name_H-M 'P 1 21/c 1'
_symmetry_Int_Tables_number 14
_symmetry_space_group_name_Hall '-P 2ybc'
_cell_length_a 5.838
_cell_length_b 4.626
_cell_length_c 4.636
_cell_angle_alpha 90.00
_cell_angle_beta 90.41
_cell_angle_gamma 90.00
loop_
_atom_site_label
_atom_site_type_symbol
_atom_site_fract_x
_atom_site_fract_y
_atom_site_fract_z
Tl1 Tl 0.000 0.000 0.000
H1 H 0.214 0.009 0.497
H2 H 0.477 0.671 0.328
Rh1 Rh 0.500 0.000 0.500

***

[5]
# SrNd2ReO8 PBE optimized geometry
# formation energy without anion corrections = -29.1 eV per formula unit
# D(E_F) = 1.315 states/eV/f.u.
# VASP energy = -7.703 eV/atom
data_SrNd2ReO8
_symmetry_space_group_name_H-M 'P -1'
_symmetry_Int_Tables_number 2
_symmetry_space_group_name_Hall '-P 1'
_cell_length_a 4.600
_cell_length_b 5.214
_cell_length_c 7.131
_cell_angle_alpha 90.03
_cell_angle_beta 105.68
_cell_angle_gamma 91.69
loop_
_atom_site_label
_atom_site_type_symbol
_atom_site_fract_x
_atom_site_fract_y
_atom_site_fract_z
Sr1 Sr 0.000 0.000 0.000
Nd1 Nd 0.394 0.495 0.716
Re1 Re 0.000 0.000 0.500
O1 O 0.163 0.717 0.398
O2 O 0.225 0.229 0.389
O3 O 0.234 0.500 0.996
O4 O 0.318 0.000 0.742

***

[6]
# TaNiI3 PBE optimized geometry
# formation energy without anion corrections = 4.5 eV per formula unit
# polymorph energy (0 for the lowest one) = 0 meV per atom
# D(E_F) = 28.892 states/eV/f.u.
# VASP energy = -3.550 eV/atom
data_TaNiI3
_symmetry_space_group_name_H-M 'P m -3 m'
_symmetry_Int_Tables_number 221
_symmetry_space_group_name_Hall '-P 4 2 3'
_cell_length_a 5.527
_cell_length_b 5.527
_cell_length_c 5.527
_cell_angle_alpha 90.00
_cell_angle_beta 90.00
_cell_angle_gamma 90.00
loop_
_atom_site_label
_atom_site_type_symbol
_atom_site_fract_x
_atom_site_fract_y
_atom_site_fract_z
Ta1 Ta 0.000 0.000 0.000
Ni1 Ni 0.500 0.500 0.500
I1 I 0.000 0.000 0.500

***

[7]
# Y5InNi2 PBE optimized geometry
# D(E_F) = 10.137 states/eV/f.u.
# formation energy = -0.3588 eV per atom
# VASP energy = -6.186 eV/atom
data_Y5InNi2
_symmetry_space_group_name_H-M 'I 4/m c m'
_symmetry_Int_Tables_number 140
_symmetry_space_group_name_Hall '-I 4 2c'
_cell_length_a 7.730
_cell_length_b 7.730
_cell_length_c 13.432
_cell_angle_alpha 90.00
_cell_angle_beta 90.00
_cell_angle_gamma 90.00
loop_
_atom_site_label
_atom_site_type_symbol
_atom_site_fract_x
_atom_site_fract_y
_atom_site_fract_z
Y1 Y 0.000 0.000 0.000
Y2 Y 0.160 0.340 0.135
In1 In 0.000 0.000 0.250
Ni1 Ni 0.126 0.374 0.500

***

[8]
# Pm2Tm6Cd PBE optimized geometry
# D(E_F) = 14.087 states/eV/f.u.
# formation energy = 0.0250 eV per atom
# VASP energy = -4.113 eV/atom
data_Pm2Tm6Cd
_symmetry_space_group_name_H-M 'P n n m'
_symmetry_Int_Tables_number 58
_symmetry_space_group_name_Hall '-P 2 2n'
_cell_length_a 9.752
_cell_length_b 10.199
_cell_length_c 5.412
_cell_angle_alpha 90.00
_cell_angle_beta 90.00
_cell_angle_gamma 90.00
loop_
_atom_site_label
_atom_site_type_symbol
_atom_site_fract_x
_atom_site_fract_y
_atom_site_fract_z
Pm1 Pm 0.192 0.242 0.000
Tm1 Tm 0.019 0.324 0.500
Tm2 Tm 0.139 0.893 0.000
Tm3 Tm 0.177 0.567 0.000
Cd1 Cd 0.000 0.000 0.500

***

Question: What is the formula in the fifth record?
Answer: SrNd2ReO8

***

Question: Among the records above, which one has the highest VASP energy?
Answer: Ba2BiHAu